Below is Cu2AgPbCl8 after structural relaxation, with properties calculated at the GGA-PBE level.

Properties
Its raw total energy is -2.983 eV per atom. As for the total magnetization: 0.08 μB/cell. The space-group type is I-4m2 (119). For the calculated volume, the calculation gives 25.8 Å³ per atom.

```
Cu2AgPbCl8
1.0
-4.261 4.261 4.265
4.261 -4.261 4.265
4.261 4.261 -4.265
Cu Ag Pb Cl
2 1 1 8
direct
0.000 0.000 0.000
0.750 0.250 0.500
0.500 0.500 0.000
0.250 0.750 0.500
0.000 0.816 0.185
0.127 0.436 0.691
0.184 0.000 0.815
0.184 0.369 0.185
0.564 0.255 0.691
0.564 0.873 0.309
0.631 0.816 0.815
0.745 0.436 0.309
```